This record from Alexandria via LeMat-Bulk describes a geometry-optimized CrIn structure. The functional is PBE.

Formation energy from the elements, eV/atom: 1.376
Raw total energy, Ha/atom: -0.1766
Symmetry: Pm-3n

Geometry as extended XYZ:
```
12
Lattice="7.822 0.000 0.000 0.000 7.822 0.000 0.000 0.000 7.822" Properties=species:S:1:pos:R:3 pbc="T T T"
Cr 0.000 1.955 3.911
Cr 0.000 5.866 3.911
Cr 1.955 3.911 0.000
Cr 3.911 0.000 1.955
Cr 3.911 0.000 5.866
Cr 5.866 3.911 0.000
In 0.000 3.911 1.955
In 0.000 3.911 5.866
In 1.955 0.000 3.911
In 3.911 1.955 0.000
In 3.911 5.866 0.000
In 5.866 0.000 3.911
```



This record from Alexandria via LeMat-Bulk describes a geometry-optimized LiCa2TeO6 structure. The functional is PBE.

Energy relative to the elements, uncorrected, meV per atom: -1948
Raw total energy, Ha/atom: -0.2142
Relative energy among the computed polymorphs, eV/atom: 0.027
Symmetry: P-1

Geometry as extended XYZ:
```
10
Lattice="5.555 0.000 0.000 2.705 4.851 0.000 2.704 1.590 4.584" Properties=species:S:1:pos:R:3 pbc="T T T"
Li 0.000 0.000 0.000
Ca 2.784 1.636 1.162
Ca 8.179 4.806 3.423
Te 5.482 3.221 2.292
O 3.910 2.837 3.355
O 5.488 5.021 3.002
O 4.376 3.831 0.826
O 6.588 2.610 3.758
O 5.475 1.421 1.582
O 7.053 3.605 1.230
```



This record from Alexandria via LeMat-Bulk describes a geometry-optimized CsBaPt3 structure. The functional is PBE.

Formation energy from the elements, eV/atom: 0.950
Raw total energy, Ha/atom: -0.1187
Relative energy among the computed polymorphs, eV/atom: 0.000
Symmetry: Pm-3m

Geometry as extended XYZ:
```
5
Lattice="5.653 0.000 0.000 0.000 5.653 0.000 0.000 0.000 5.653" Properties=species:S:1:pos:R:3 pbc="T T T"
Cs 0.000 0.000 0.000
Ba 2.826 2.826 2.826
Pt 0.000 2.826 2.826
Pt 2.826 0.000 2.826
Pt 2.826 2.826 0.000
```



This record from Alexandria via LeMat-Bulk describes a geometry-optimized Mg3Cd structure. The functional is PBE.

Formation energy from the elements, eV/atom: -0.022
Raw total energy, Ha/atom: -0.0532
Symmetry: P6_3/mmc

Geometry as extended XYZ:
```
8
Lattice="4.970 0.000 0.000 -2.485 4.304 0.000 0.000 0.000 8.642" Properties=species:S:1:pos:R:3 pbc="T T T"
Mg 0.000 0.000 2.160
Mg 0.000 0.000 6.481
Mg 0.000 2.870 0.688
Mg 0.000 2.870 3.633
Mg 2.485 1.435 5.009
Mg 2.485 1.435 7.954
Cd 0.000 2.870 6.481
Cd 2.485 1.435 2.160
```



This record from Alexandria via LeMat-Bulk describes a geometry-optimized HfMgReO2 structure. The functional is PBE.

Energy relative to the elements, uncorrected, meV per atom: 158
Raw total energy, Ha/atom: -0.2434
Symmetry: P4/mmm

Geometry as extended XYZ:
```
5
Lattice="3.879 0.000 0.000 0.000 3.879 0.000 0.000 0.000 5.182" Properties=species:S:1:pos:R:3 pbc="T T T"
Hf 0.000 0.000 0.000
Mg 1.940 1.940 2.591
Re 1.940 1.940 0.000
O 0.000 1.940 2.591
O 1.940 0.000 2.591
```



This record from Alexandria via LeMat-Bulk describes a geometry-optimized Pr3NiB2Pt9 structure. The functional is PBE.

Formation energy from the elements, eV/atom: -0.731
Raw total energy, Ha/atom: -0.2421
Symmetry: P-3m1

Geometry as extended XYZ:
```
15
Lattice="5.809 0.000 0.000 -2.905 5.031 0.000 0.000 0.000 9.260" Properties=species:S:1:pos:R:3 pbc="T T T"
Pr 0.000 0.000 0.000
Pr 0.000 3.354 5.550
Pr 2.905 1.677 3.710
Ni 0.000 0.000 4.630
B 0.000 3.354 1.402
B 2.905 1.677 7.858
Pt -1.452 2.515 0.000
Pt 0.000 1.640 2.654
Pt -1.485 4.211 2.654
Pt 1.420 0.820 6.606
Pt 2.905 0.000 0.000
Pt 1.452 2.515 0.000
Pt 1.485 4.211 2.654
Pt 4.389 0.820 6.606
Pt 2.905 3.391 6.606
```



This record from Alexandria via LeMat-Bulk describes a geometry-optimized V2TcPdS structure. The functional is PBE.

Energy relative to the elements, uncorrected, meV per atom: 397
Raw total energy, Ha/atom: -0.2641
Symmetry: P4/mmm

Geometry as extended XYZ:
```
5
Lattice="4.273 0.000 0.000 0.000 4.273 0.000 0.000 0.000 4.324" Properties=species:S:1:pos:R:3 pbc="T T T"
V 0.000 2.137 0.000
V 2.137 0.000 0.000
Tc 0.000 0.000 2.162
Pd 2.137 2.137 2.162
S 2.137 2.137 0.000
```



This record from Alexandria via LeMat-Bulk describes a geometry-optimized Cd5In2Hg3 structure. The functional is PBE.

Formation energy from the elements, eV/atom: 0.065
Raw total energy, Ha/atom: -0.0379
Relative energy among the computed polymorphs, eV/atom: 0.047
Symmetry: Ibam

Geometry as extended XYZ:
```
20
Lattice="-6.030 7.037 3.111 6.030 -7.037 3.111 6.030 7.037 -3.111" Properties=species:S:1:pos:R:3 pbc="T T T"
Cd 7.666 2.090 0.000
Cd 3.031 7.037 -1.556
Cd 0.000 0.000 1.556
Cd 3.000 0.000 1.556
Cd 1.636 4.947 0.000
Cd 4.395 2.090 3.111
Cd 3.031 7.037 1.556
Cd 0.000 0.000 4.667
Cd 3.000 0.000 4.667
Cd -1.636 4.947 3.111
In 4.556 3.291 0.000
In 4.556 -3.291 3.111
In 1.474 10.328 0.000
In 1.474 3.746 3.111
Hg 1.449 2.129 0.000
Hg 6.030 0.000 1.556
Hg 7.479 4.908 0.000
Hg -1.449 2.129 3.111
Hg 0.000 7.037 1.556
Hg 4.582 4.908 3.111
```